The following is a DFT calculation (PBE-GGA) of an optimized crystal structure of CuNiS2.

Structure (CIF):
```
data_CuNiS2
_chemical_formula_sum 'Cu4 Ni4 S8'
_space_group_name_H-M_alt 'P 1'
_space_group_IT_number 1
_space_group_name_Hall 'P 1'
_cell_length_a 6.112
_cell_length_b 7.072
_cell_length_c 6.231
_cell_angle_alpha 90.00
_cell_angle_beta 90.00
_cell_angle_gamma 90.00
loop_
_atom_site_label
_atom_site_type_symbol
_atom_site_fract_x
_atom_site_fract_y
_atom_site_fract_z
Cu1 Cu 0.081 0.124 0.000
Cu2 Cu 0.419 0.624 0.500
Cu3 Cu 0.581 0.376 0.000
Cu4 Cu 0.919 0.876 0.500
Ni1 Ni 0.084 0.627 0.996
Ni2 Ni 0.416 0.127 0.496
Ni3 Ni 0.584 0.873 0.996
Ni4 Ni 0.916 0.373 0.496
S1 S 0.078 0.614 0.645
S2 S 0.090 0.135 0.636
S3 S 0.410 0.635 0.136
S4 S 0.422 0.114 0.145
S5 S 0.578 0.886 0.645
S6 S 0.590 0.365 0.636
S7 S 0.910 0.865 0.136
S8 S 0.922 0.386 0.145
```

DFT total energy = -19.110 eV per formula unit
space group = Pna2_1, No. 33